# 1
{"formula": "CsNaPbS2", "functional": "PBE-GGA", "state": "relaxed", "raw_formation_energy_ev_per_atom": -0.857, "cell": [[-1.9112, -0.3653, -4.3786], [-6.0179, -0.5075, 5.2907], [-0.1292, 9.7716, -0.7587]], "species": ["Pb", "Pb", "S", "S", "S", "Na", "S", "Na", "Cs", "Cs"], "frac_coords": [[0.0563, 0.1127, 0.2004], [0.9437, 0.8873, 0.7996], [0.8712, 0.7425, 0.0425], [0.1288, 0.2575, 0.9575], [0.3584, 0.7167, 0.6858], [0.6891, 0.3782, 0.0577], [0.6416, 0.2833, 0.3142], [0.3109, 0.6218, 0.9423], [0.6695, 0.3390, 0.6658], [0.3305, 0.6610, 0.3342]]}

# 2
{"formula": "Dy2ErTm7", "functional": "PBE-GGA", "state": "relaxed", "delta_e_f_kj_per_mol_atoms": 5, "relative_energy_ev_per_atom": 0.000, "cell": [[5.1694, -1.6410, 0.7547], [-2.8956, 7.1281, -4.3996], [1.2695, -0.6394, 9.8099]], "species": ["Tm", "Tm", "Tm", "Tm", "Dy", "Er", "Dy", "Tm", "Tm", "Tm"], "frac_coords": [[0.7998, 0.3984, 0.1972], [0.8554, 0.0677, 0.4242], [0.7030, 0.1055, 0.8050], [0.1446, 0.9323, 0.5758], [0.6424, 0.4298, 0.5750], [0.0000, 0.0000, 0.0000], [0.3576, 0.5702, 0.4250], [0.5000, 0.5000, 0.0000], [0.2970, 0.8945, 0.1950], [0.2002, 0.6016, 0.8028]]}

Number 1: total magnetization 0.000 Bohr magnetons per cell, density of states at the Fermi level 0.00 states/eV/cell. Number 2: total magnetization 0.001 Bohr magnetons per cell, density of states at the Fermi level 20.59 states/eV/cell.